# 1
Compound: V3Fe
Source: Alexandria via LeMat-Bulk
Functional: GGA-PBE
Structure: relaxed

abc: 4.1304 4.1304 2.9060
angles: 90.00 90.00 90.00
Space group P4/mmm (No. 123)
One atom of each set of equivalent atoms:
V1 0.0000 0.0000 0.0000 (multiplicity 1)
V2 0.0000 0.5000 0.5000 (multiplicity 2)
Fe1 0.5000 0.5000 0.0000 (multiplicity 1)

## Properties
* DOS at the Fermi energy: 1.95 states/eV/f.u.
* E_tot: -9.10 eV/atom

# 2
Compound: VFe4
Source: Alexandria via LeMat-Bulk
Functional: GGA-PBE
Structure: relaxed

abc: 2.8911 4.0103 20.1209
angles: 90.00 90.00 90.00
Space group Fmmm (No. 69)
One atom of each set of equivalent atoms:
V1 0.0000 0.0000 0.0000 (multiplicity 4)
Fe1 0.0000 0.0000 0.2001 (multiplicity 8)
Fe2 0.0000 0.0000 0.3988 (multiplicity 8)

## Properties
* energy relative to the lowest polymorph listed for this composition: 0.052 eV per atom
* DOS at the Fermi energy: 4.11 states/eV/f.u.

# 3
Compound: V5Fe6
Source: Alexandria via LeMat-Bulk
Functional: GGA-PBE
Structure: relaxed

abc: 3.9960 5.6146 11.9144
angles: 90.00 90.00 90.00
Space group Immm (No. 71)
One atom of each set of equivalent atoms:
V1 0.0000 0.0000 0.0000 (multiplicity 2)
V2 0.0000 0.0000 0.3382 (multiplicity 4)
V3 0.0000 0.5000 0.3360 (multiplicity 4)
Fe1 0.0000 0.2438 0.5000 (multiplicity 4)
Fe2 0.0000 0.2524 0.1668 (multiplicity 8)

## Properties
* DOS at the Fermi energy: 5.99 states/eV/f.u.
* E_tot: -8.74 eV/atom

# 4
Compound: VFe4
Source: Alexandria via LeMat-Bulk
Functional: GGA-PBE
Structure: relaxed

abc: 2.4383 2.4383 19.9831
angles: 90.00 90.00 90.00
Space group I4/mmm (No. 139)
One atom of each set of equivalent atoms:
V1 0.0000 0.0000 0.0000 (multiplicity 2)
Fe1 0.0000 0.0000 0.2006 (multiplicity 4)
Fe2 0.0000 0.0000 0.3979 (multiplicity 4)

## Properties
* energy relative to the lowest polymorph listed for this composition: 0.164 eV per atom
* DOS at the Fermi energy: 3.79 states/eV/f.u.

# 5
Compound: V5Fe3
Source: Alexandria via LeMat-Bulk
Functional: GGA-PBE
Structure: relaxed

abc: 2.8977 2.8977 11.6450
angles: 90.00 90.00 90.00
Space group P4/mmm (No. 123)
One atom of each set of equivalent atoms:
V1 0.0000 0.0000 0.0000 (multiplicity 1)
V2 0.0000 0.0000 0.2456 (multiplicity 2)
V3 0.5000 0.5000 0.3773 (multiplicity 2)
Fe1 0.0000 0.0000 0.5000 (multiplicity 1)
Fe2 0.5000 0.5000 0.1234 (multiplicity 2)

## Properties
* DOS at the Fermi energy: 8.38 states/eV/f.u.
* E_tot: -9.00 eV/atom

# 6
Compound: V3Fe13
Source: Alexandria via LeMat-Bulk
Functional: GGA-PBE
Structure: relaxed

abc: 7.0077 7.1748 7.0944
angles: 90.00 90.00 90.00
Space group Amm2 (No. 38)
One atom of each set of equivalent atoms:
V1 0.0000 0.0000 0.0000 (multiplicity 2)
V2 0.2612 0.0000 0.2674 (multiplicity 4)
Fe1 0.0000 0.0000 0.5203 (multiplicity 2)
Fe2 0.0000 0.2485 0.2556 (multiplicity 4)
Fe3 0.2472 0.0000 0.7549 (multiplicity 4)
Fe4 0.2542 0.2502 0.0117 (multiplicity 8)
Fe5 0.5000 0.0000 0.0033 (multiplicity 2)
Fe6 0.5000 0.0000 0.5169 (multiplicity 2)
Fe7 0.5000 0.2402 0.7604 (multiplicity 4)

## Properties
* DOS at the Fermi energy: 15.57 states/eV/f.u.
* E_tot: -8.55 eV/atom

# 7
Compound: VFe5
Source: Alexandria via LeMat-Bulk
Functional: GGA-PBE
Structure: relaxed

abc: 2.8896 2.8896 8.4307
angles: 90.00 90.00 90.00
Space group P4/mmm (No. 123)
One atom of each set of equivalent atoms:
V1 0.0000 0.0000 0.0000 (multiplicity 1)
Fe1 0.0000 0.0000 0.3338 (multiplicity 2)
Fe2 0.5000 0.5000 0.1658 (multiplicity 2)
Fe3 0.5000 0.5000 0.5000 (multiplicity 1)

## Properties
* DOS at the Fermi energy: 4.10 states/eV/f.u.
* E_tot: -8.64 eV/atom

# 8
Compound: V5Fe
Source: Alexandria via LeMat-Bulk
Functional: GGA-PBE
Structure: relaxed

abc: 4.1511 8.8811 4.1364
angles: 90.00 90.00 90.00
Space group Cmmm (No. 65)
One atom of each set of equivalent atoms:
V1 0.0000 0.0000 0.0000 (multiplicity 2)
V2 0.0000 0.1626 0.5000 (multiplicity 4)
V3 0.0000 0.3359 0.0000 (multiplicity 4)
Fe1 0.0000 0.5000 0.5000 (multiplicity 2)

## Properties
* energy relative to the lowest polymorph listed for this composition: 0.000 eV per atom
* DOS at the Fermi energy: 7.25 states/eV/f.u.

# 9
Compound: V7Fe
Source: Alexandria via LeMat-Bulk
Functional: GGA-PBE
Structure: relaxed

abc: 4.1698 4.1698 11.8404
angles: 90.00 90.00 90.00
Space group I4/mmm (No. 139)
One atom of each set of equivalent atoms:
V1 0.0000 0.0000 0.0000 (multiplicity 2)
V2 0.0000 0.0000 0.2470 (multiplicity 4)
V3 0.0000 0.5000 0.1227 (multiplicity 8)
Fe1 0.0000 0.0000 0.5000 (multiplicity 2)

## Properties
* DOS at the Fermi energy: 9.45 states/eV/f.u.
* E_tot: -9.13 eV/atom

# 10
Compound: V3Fe5
Source: Alexandria via LeMat-Bulk
Functional: GGA-PBE
Structure: relaxed

abc: 5.7273 5.7273 5.7273
angles: 90.00 90.00 90.00
Space group Im-3m (No. 229)
One atom of each set of equivalent atoms:
V1 0.0000 0.0000 0.5000 (multiplicity 6)
Fe1 0.0000 0.0000 0.0000 (multiplicity 2)
Fe2 0.2500 0.2500 0.2500 (multiplicity 8)

## Properties
* DOS at the Fermi energy: 6.24 states/eV/f.u.
* E_tot: -8.83 eV/atom

# 11
Compound: VFe4
Source: Alexandria via LeMat-Bulk
Functional: GGA-PBE
Structure: relaxed

abc: 6.3678 6.3678 2.9095
angles: 90.00 90.00 90.00
Space group I4/m (No. 87)
One atom of each set of equivalent atoms:
V1 0.0000 0.0000 0.0000 (multiplicity 2)
Fe1 0.0993 0.6990 0.5000 (multiplicity 8)

## Properties
* energy relative to the lowest polymorph listed for this composition: 0.000 eV per atom
* DOS at the Fermi energy: 2.46 states/eV/f.u.

# 12
Compound: VFe3
Source: Alexandria via LeMat-Bulk
Functional: GGA-PBE
Structure: relaxed

abc: 2.4727 4.0933 4.4159
angles: 90.00 90.00 90.00
Space group Pmm2 (No. 25)
One atom of each set of equivalent atoms:
V1 0.0000 0.0000 0.0000 (multiplicity 1)
Fe1 0.0000 0.5000 0.3311 (multiplicity 1)
Fe2 0.5000 0.0000 0.4949 (multiplicity 1)
Fe3 0.5000 0.5000 0.8116 (multiplicity 1)

## Properties
* DOS at the Fermi energy: 4.87 states/eV/f.u.
* E_tot: -8.58 eV/atom